Computed, not measured: crystalline Ta3NbCo at its relaxed geometry at the PBE-GGA level of DFT. Values from VASP.

```
&SYSTEM
  ibrav = 0, nat = 5, ntyp = 3
/
ATOMIC_SPECIES
Nb 92.91 Nb.upf
Co 58.93 Co.upf
Ta 180.95 Ta.upf
ATOMIC_POSITIONS crystal
Nb 0.0000 0.0000 0.0000
Co 0.5000 0.5000 0.5000
Ta 0.0000 0.5000 0.0000
Ta 0.0000 0.0000 0.5000
Ta 0.5000 0.0000 0.0000
CELL_PARAMETERS angstrom
4.8028 0.0000 0.0000
0.0000 4.8028 0.0000
0.0000 0.0000 4.8028
```

## Properties
**Formation enthalpy at 0 K**: 2059 meV/atom
**Space-group type**: Pm-3m, No. 221
**Volume**: 110.79 Å³ per cell
**DOS at the Fermi energy**: 6.284 states/eV per cell
**Total energy**: -8.488 eV/atom
**Energy above the lowest structure with this stoichiometry**: 1871 meV per atom